# 1
The following is a PBE calculation of crystalline CsLaY2Ag at its relaxed geometry, from Alexandria.

Unit cell a=5.8521 b=5.8521 c=5.9639 alpha=90.00 beta=90.00 gamma=90.00
Last column: nearest neighbours and their distance in Å.
Space group P4/mmm (No. 123)
Symmetry-distinct sites (fractional):
Cs  0.0000  0.0000  0.0000 (multiplicity 1)  4 La 4.14, 8 Y 4.18
La  0.5000  0.5000  0.0000 (multiplicity 1)  2 Ag 2.98
Y  0.0000  0.5000  0.5000 (multiplicity 2)  2 Ag 2.93
Ag  0.5000  0.5000  0.5000 (multiplicity 1)  4 Y 2.93, 2 La 2.98

The value obtained for the formation energy from the elements is 388 meV per atom.

# 2
The following is a PBE calculation of crystalline UIrPdAu at its relaxed geometry, from Alexandria.

Unit cell a=6.6568 b=6.6568 c=6.6568 alpha=90.00 beta=90.00 gamma=90.00
Last column: nearest neighbours and their distance in Å.
Space group F-43m (No. 216)
Symmetry-distinct sites (fractional):
U  0.0000  0.0000  0.0000 (multiplicity 4)  4 Pd 2.88, 4 Ir 2.88
Ir  0.2500  0.2500  0.2500 (multiplicity 4)  4 U 2.88, 4 Au 2.88
Pd  0.2500  0.2500  0.7500 (multiplicity 4)  4 U 2.88, 4 Au 2.88
Au  0.0000  0.0000  0.5000 (multiplicity 4)  4 Ir 2.88, 4 Pd 2.88

The value obtained for the formation energy from the elements is -284 meV per atom.

# 3
The following is a PBE calculation of crystalline YZnNi2 at its relaxed geometry, from Alexandria.

Unit cell a=3.5556 b=3.8635 c=5.1375 alpha=90.00 beta=110.09 gamma=90.00
Last column: nearest neighbours and their distance in Å.
Space group Pm (No. 6)
Symmetry-distinct sites (fractional):
Y  0.0000  0.0000  0.0000 (multiplicity 1)  7 Ni 2.60-2.85
Zn  0.7054  0.5000  0.4088 (multiplicity 1)  7 Ni 2.67-2.83
Ni  0.2706  0.0000  0.5385 (multiplicity 1)  2 Ni 2.37, 1 Y 2.60
Ni  0.4120  0.5000  0.8222 (multiplicity 1)  2 Ni 2.37

The value obtained for the formation energy from the elements is -254 meV per atom.

# 4
The following is a PBE calculation of crystalline KGaC at its relaxed geometry, from Alexandria.

Unit cell a=4.4139 b=4.7387 c=7.9522 alpha=85.54 beta=73.96 gamma=90.00
Last column: nearest neighbours and their distance in Å.
Space group P-1 (No. 2)
Symmetry-distinct sites (fractional):
K  0.1555  0.2105  0.1889 (multiplicity 2)  2 C 2.91-2.92
Ga  0.4489  0.2374  0.6027 (multiplicity 2)  2 C 2.10
C  0.1485  0.5000  0.4999 (multiplicity 2)  1 C 1.31

The value obtained for the formation energy from the elements is 282 meV per atom.

# 5
The following is a PBE calculation of crystalline TbThRu at its relaxed geometry, from Alexandria.

Unit cell a=4.0548 b=6.0166 c=7.1513 alpha=100.44 beta=106.43 gamma=90.00
Last column: nearest neighbours and their distance in Å.
Space group P-1 (No. 2)
Symmetry-distinct sites (fractional):
Tb  0.0884  0.2930  0.1758 (multiplicity 2)  3 Ru 2.83-3.08
Th  0.3437  0.1870  0.6881 (multiplicity 2)  3 Ru 2.72-2.98
Ru  0.2665  0.6899  0.5330 (multiplicity 2)  3 Th 2.72-2.98, 2 Tb 2.83, 2 Ru 3.02

The value obtained for the formation energy from the elements is -331 meV per atom.

# 6
The following is a PBE calculation of crystalline CsCeCuS3 at its relaxed geometry, from Alexandria.

Unit cell a=4.0725 b=15.4250 c=10.4941 alpha=90.00 beta=90.00 gamma=90.00
Last column: nearest neighbours and their distance in Å.
Space group Cmcm (No. 63)
Symmetry-distinct sites (fractional):
Cs  0.0000  0.2408  0.2500 (multiplicity 4)  8 S 3.56-3.85
Ce  0.0000  0.5000  0.0000 (multiplicity 4)  6 S 2.74-2.75
Cu  0.0000  0.0321  0.7500 (multiplicity 4)  4 S 2.31-2.41
S  0.0000  0.1114  0.5632 (multiplicity 8)  1 Cu 2.31
S  0.0000  0.4482  0.7500 (multiplicity 4)  2 Cu 2.41

The formation energy without anion corrections comes out at -1.42 eV/atom.

# 7
The following is a PBE calculation of crystalline CePrCo2P2 at its relaxed geometry, from Alexandria.

Unit cell a=3.9145 b=3.9145 c=8.0947 alpha=90.00 beta=90.00 gamma=120.00
Last column: nearest neighbours and their distance in Å.
Space group P-3m1 (No. 164)
Symmetry-distinct sites (fractional):
Ce  0.0000  0.0000  0.0000 (multiplicity 1)  6 Co 2.92, 6 P 3.03
Pr  0.0000  0.0000  0.5000 (multiplicity 1)  6 P 3.03, 6 Co 3.16
Co  0.3333  0.6667  0.2276 (multiplicity 2)  3 P 2.27
P  0.3333  0.6667  0.7498 (multiplicity 2)  3 Co 2.27

The value obtained for the formation energy from the elements is -1039 meV per atom.

# 8
The following is a PBE calculation of crystalline Ba2Hg2Au at its relaxed geometry, from Alexandria.

Unit cell a=4.3203 b=4.3203 c=18.9947 alpha=90.00 beta=90.00 gamma=90.00
Last column: nearest neighbours and their distance in Å.
Space group I4/mmm (No. 139)
Symmetry-distinct sites (fractional):
Ba  0.0000  0.0000  0.0989 (multiplicity 4)  4 Au 3.59, 4 Hg 3.59, 1 Ba 3.76
Hg  0.0000  0.5000  0.2500 (multiplicity 4)  4 Hg 3.05
Au  0.0000  0.0000  0.5000 (multiplicity 2)  8 Ba 3.59

The value obtained for the formation energy from the elements is -454 meV per atom.

# 9
The following is a PBE calculation of crystalline La6Pt2Rh3Br at its relaxed geometry, from Alexandria.

Unit cell a=18.6627 b=4.1833 c=8.6799 alpha=90.00 beta=104.98 gamma=90.00
Last column: nearest neighbours and their distance in Å.
Space group C2/m (No. 12)
Symmetry-distinct sites (fractional):
La  0.0034  0.0000  0.2227 (multiplicity 4)  3 Rh 2.84-2.87, 1 Pt 3.05
La  0.1676  0.5000  0.0840 (multiplicity 4)  3 Rh 3.00-3.02, 3 Pt 3.03-3.05
La  0.1782  0.5000  0.5815 (multiplicity 4)  3 Rh 2.87-3.00, 2 Pt 3.04, 1 Br 3.22
Pt  0.1643  0.0000  0.8269 (multiplicity 4)  6 La 3.03-3.05
Rh  0.0000  0.5000  0.0000 (multiplicity 2)  6 La 2.84-3.02
Rh  0.1625  0.0000  0.3280 (multiplicity 4)  6 La 2.87-3.00
Br  0.0000  0.5000  0.5000 (multiplicity 2)  6 La 3.20-3.22

The formation energy without anion corrections comes out at -0.99 eV/atom.

# 10
The following is a PBE calculation of crystalline NdYHo2Tm at its relaxed geometry, from Alexandria.

Unit cell a=8.3846 b=11.4467 c=7.2096 alpha=90.00 beta=90.00 gamma=90.00
Last column: nearest neighbours and their distance in Å.
Space group Cmcm (No. 63)
Symmetry-distinct sites (fractional):
Nd  0.0000  0.2279  0.2500 (multiplicity 4)  1 Y 3.13
Y  0.0000  0.4985  0.7500 (multiplicity 4)  1 Nd 3.13, 4 Ho 3.17, 1 Tm 3.20
Ho  0.1889  0.0000  0.0000 (multiplicity 8)  1 Ho 3.17, 2 Y 3.17, 2 Tm 3.47, 2 Nd 3.54
Tm  0.0000  0.2191  0.7500 (multiplicity 4)  1 Y 3.20, 4 Ho 3.47

The value obtained for the formation energy from the elements is 398 meV per atom.

# 11
The following is a PBE calculation of crystalline LiTmGe at its relaxed geometry, from Alexandria.

Unit cell a=4.3838 b=4.3838 c=3.4949 alpha=90.00 beta=90.00 gamma=120.00
Last column: nearest neighbours and their distance in Å.
Space group P-6m2 (No. 187)
Symmetry-distinct sites (fractional):
Li  0.0000  0.0000  0.0000 (multiplicity 1)  3 Ge 2.53
Tm  0.6667  0.3333  0.5000 (multiplicity 1)  6 Li 3.08, 6 Ge 3.08
Ge  0.3333  0.6667  0.0000 (multiplicity 1)  3 Li 2.53

The value obtained for the formation energy from the elements is -547 meV per atom.

# 12
The following is a PBE calculation of crystalline LiTb3In at its relaxed geometry, from Alexandria.

Unit cell a=8.3856 b=6.7687 c=10.4079 alpha=90.00 beta=108.07 gamma=90.00
Last column: nearest neighbours and their distance in Å.
Space group P2_1/c (No. 14)
Symmetry-distinct sites (fractional):
Li  0.0111  0.2504  0.0029 (multiplicity 4)  1 In 2.93
Tb  0.2186  0.0054  0.3043 (multiplicity 4)  6 Tb 3.32-3.52, 3 In 3.34-3.64, 4 Li 3.50-3.62
Tb  0.2229  0.0044  0.8061 (multiplicity 4)  6 Tb 3.32-3.52, 3 In 3.33-3.61, 4 Li 3.52-3.64
Tb  0.4044  0.7493  0.1011 (multiplicity 4)  4 In 3.12-3.40, 1 Li 3.31, 6 Tb 3.41-3.46
In  0.3791  0.2500  0.0948 (multiplicity 4)  1 Li 2.93, 2 Tb 3.12

The value obtained for the formation energy from the elements is -114 meV per atom.

| no. | spin magnetization (μB per cell) |
| --- | --- |
| 1 | 0.0 |
| 2 | 6.4 |
| 3 | 0.0 |
| 4 | 0.0 |
| 5 | 0.0 |
| 6 | 0.0 |
| 7 | 0.0 |
| 8 | 0.0 |
| 9 | 0.0 |
| 10 | 0.0 |
| 11 | 0.0 |
| 12 | 0.0 |